{"formula": "RbMgAg2F8", "functional": "GGA-PBE", "state": "relaxed", "lattice": [[5.567, 0.000, 0.000], [-2.784, 4.821, 0.000], [0.000, 0.000, 7.301]], "species": ["F", "F", "F", "F", "F", "F", "Ag", "F", "Rb", "F", "Ag", "Mg"], "fractional_positions": [[0.667, 0.333, 0.106], [0.332, 0.066, 0.643], [0.734, 0.668, 0.643], [0.066, 0.734, 0.357], [0.934, 0.266, 0.643], [0.668, 0.934, 0.357], [0.333, 0.667, 0.623], [0.333, 0.667, 0.894], [0.000, 0.000, 0.000], [0.266, 0.332, 0.357], [0.667, 0.333, 0.377], [0.000, 0.000, 0.500]], "density_g_cm3": 4.046, "e_tot_ev_per_atom": -3.755, "sg": "P-3, No. 147"}